Computed, not measured: a relaxed structure of LiUPt4 at the PBE level of DFT. Values from VASP.

Cell and atoms, written as Quantum ESPRESSO input:
```
&SYSTEM
  ibrav = 0, nat = 12, ntyp = 3
/
ATOMIC_SPECIES
Li 6.94 Li.upf
U 238.03 U.upf
Pt 195.08 Pt.upf
ATOMIC_POSITIONS angstrom
Li 2.0112 4.4364 6.0508
Li 2.0112 -4.4364 2.0169
U 2.0112 4.1548 2.0169
U 2.0112 -4.1548 6.0508
Pt 0.0000 0.0000 0.0000
Pt 0.0000 0.0000 4.0339
Pt 2.0112 2.0662 0.0338
Pt 2.0112 2.0662 4.0001
Pt 2.0112 0.0039 2.0169
Pt 2.0112 -0.0039 6.0508
Pt 2.0112 -2.0662 4.0677
Pt 2.0112 -2.0662 8.0340
CELL_PARAMETERS angstrom
2.0112 -6.1900 0.0000
2.0112 6.1900 0.0000
0.0000 0.0000 8.0678
```

Calculated values
For the formation energy, the calculation gives -659 meV/atom. Its size of the total moment is 2.47 μB per cell. Its mass density is 17.0 g/cm3. For the energy above the most stable polymorph in this dataset, the calculation gives 0.0 meV/atom.

***

Computed, not measured: a relaxed structure of HgSe at the PBE level of DFT. Values from VASP.

Cell and atoms, written as Quantum ESPRESSO input:
```
&SYSTEM
  ibrav = 0, nat = 2, ntyp = 2
/
ATOMIC_SPECIES
Hg 200.59 Hg.upf
Se 78.96 Se.upf
ATOMIC_POSITIONS angstrom
Hg 0.0000 0.0000 0.0000
Se 1.4735 0.8507 3.3460
CELL_PARAMETERS angstrom
2.9471 0.0000 0.0000
-1.4735 2.5522 0.0000
0.0000 0.0000 6.6921
```

Calculated values
As for the uncorrected formation energy: 0.295 eV per atom. Its size of the total moment is 0.00 μB per cell. Its mass density is 9.2 g/cm3.

***

Computed, not measured: a relaxed structure of Ga2SbAsPd at the PBE level of DFT. Values from VASP.

Cell and atoms, written as Quantum ESPRESSO input:
```
&SYSTEM
  ibrav = 0, nat = 5, ntyp = 4
/
ATOMIC_SPECIES
Ga 69.72 Ga.upf
Sb 121.76 Sb.upf
As 74.92 As.upf
Pd 106.42 Pd.upf
ATOMIC_POSITIONS angstrom
Ga 0.0000 2.3667 0.0000
Ga 2.3667 0.0000 0.0000
Sb 0.0000 0.0000 2.7018
As 2.3667 2.3667 2.7018
Pd 0.0000 0.0000 0.0000
CELL_PARAMETERS angstrom
4.7333 0.0000 0.0000
0.0000 4.7333 0.0000
0.0000 0.0000 5.4035
```

Calculated values
As for the uncorrected formation energy: 0.111 eV per atom. Its size of the total moment is 0.00 μB per cell. Its mass density is 6.1 g/cm3.

***

Computed, not measured: a relaxed structure of SrLiPb2 at the PBE level of DFT. Values from VASP.

Cell and atoms, written as Quantum ESPRESSO input:
```
&SYSTEM
  ibrav = 0, nat = 4, ntyp = 3
/
ATOMIC_SPECIES
Sr 87.62 Sr.upf
Li 6.94 Li.upf
Pb 207.20 Pb.upf
ATOMIC_POSITIONS angstrom
Sr 0.0000 0.0000 0.0000
Li 0.0000 2.4469 2.6078
Pb 2.3243 0.0000 2.7215
Pb 2.3243 2.4469 0.6224
CELL_PARAMETERS angstrom
4.6487 0.0000 0.0000
0.0000 4.8937 0.0000
0.0000 0.0000 5.3637
```

Calculated values
For the formation energy, the calculation gives -359 meV/atom. Its size of the total moment is 0.00 μB per cell. Its mass density is 6.9 g/cm3.

***

Computed, not measured: a relaxed structure of MoRuCl2 at the PBE level of DFT. Values from VASP.

Cell and atoms, written as Quantum ESPRESSO input:
```
&SYSTEM
  ibrav = 0, nat = 4, ntyp = 3
/
ATOMIC_SPECIES
Mo 95.94 Mo.upf
Ru 101.07 Ru.upf
Cl 35.45 Cl.upf
ATOMIC_POSITIONS angstrom
Mo 0.0000 0.0000 0.0000
Ru 3.0862 3.0862 3.0862
Cl 1.5431 1.5431 1.5431
Cl 4.6293 4.6293 4.6293
CELL_PARAMETERS angstrom
0.0000 3.0862 3.0862
3.0862 0.0000 3.0862
3.0862 3.0862 0.0000
```

Calculated values
As for the uncorrected formation energy: 0.897 eV per atom. Its size of the total moment is 0.00 μB per cell. Its mass density is 7.6 g/cm3. For the energy above the most stable polymorph in this dataset, the calculation gives 1141.7 meV/atom.

***

Computed, not measured: a relaxed structure of HoCo2C at the PBE level of DFT. Values from VASP.

Cell and atoms, written as Quantum ESPRESSO input:
```
&SYSTEM
  ibrav = 0, nat = 4, ntyp = 3
/
ATOMIC_SPECIES
Ho 164.93 Ho.upf
Co 58.93 Co.upf
C 12.01 C.upf
ATOMIC_POSITIONS angstrom
Ho 0.0000 0.0000 0.0000
Co 0.0000 0.0000 3.0056
Co 0.0000 0.0000 11.9141
C 0.0000 0.0000 7.4599
CELL_PARAMETERS angstrom
1.7401 1.0046 4.9732
-1.7401 1.0046 4.9732
0.0000 -2.0093 4.9732
```

Calculated values
For the formation energy, the calculation gives 151 meV/atom. Its size of the total moment is 0.00 μB per cell. Its mass density is 9.4 g/cm3. For the energy above the most stable polymorph in this dataset, the calculation gives 271.3 meV/atom.